Below is a relaxed structure of Hf2NbIr, with properties calculated at the PBE-GGA level.

a b c (Å): 6.273 6.273 6.273
angles (deg): 54.80 153.26 133.11
Fractional coordinates of all 4 atoms:
Nb  0.000  0.000  0.000
Ir  0.000  0.500  0.500
Hf  0.000  0.275  0.275
Hf  0.000  0.725  0.725

Electronic total energy   -0.696 Ry per atom
Space group   Immm
Theoretical density   13.22 g/cm3

Below is a relaxed structure of UPaRh6, with properties calculated at the PBE-GGA level.

a b c (Å): 4.039 4.039 8.080
angles (deg): 90.00 90.00 90.00
Fractional coordinates of all 8 atoms:
U  0.000  0.000  0.000
Pa  0.000  0.000  0.500
Rh  0.500  0.500  0.000
Rh  0.500  0.500  0.500
Rh  0.500  0.000  0.243
Rh  0.500  0.000  0.757
Rh  0.000  0.500  0.243
Rh  0.000  0.500  0.757

Electronic total energy   -0.654 Ry per atom
Space group   P4/mmm
Theoretical density   13.69 g/cm3

Below is a relaxed structure of MgInNO2, with properties calculated at the PBE-GGA level.

a b c (Å): 4.196 4.196 4.176
angles (deg): 90.00 90.00 90.00
Each line ends with the local moment (μB).
Fractional coordinates of all 5 atoms:
Mg  0.500  0.500  0.500  -0.02
N  0.000  0.000  0.500  0.91
O  0.000  0.500  0.000  0.28
O  0.500  0.000  0.000  0.28
In  0.000  0.000  0.000  0.02

Space group   P4/mmm
Uncorrected formation energy   -0.067 eV/atom
Theoretical density   4.18 g/cm3

Below is a relaxed structure of Pr2Sm2Dy5, with properties calculated at the PBE-GGA level.

a b c (Å): 11.926 6.771 10.172
angles (deg): 109.44 125.89 90.00
Fractional coordinates of all 18 atoms:
Pr  0.125  0.685  0.253
Pr  0.875  0.432  0.747
Pr  0.628  0.185  0.253
Pr  0.372  0.932  0.747
Sm  0.000  0.016  0.000
Sm  0.500  0.516  0.000
Sm  0.259  0.354  0.500
Sm  0.741  0.854  0.500
Dy  0.202  0.653  0.894
Dy  0.798  0.759  0.106
Dy  0.192  0.153  0.894
Dy  0.808  0.259  0.106
Dy  0.376  0.032  0.285
Dy  0.624  0.746  0.715
Dy  0.409  0.532  0.285
Dy  0.591  0.246  0.715
Dy  0.007  0.659  0.500
Dy  0.993  0.159  0.500

Relative energy among the computed polymorphs   0.0000 eV per atom
Space group   Ima2
Theoretical density   7.64 g/cm3

Below is a relaxed structure of TcBiIr3, with properties calculated at the PBE-GGA level.

a b c (Å): 4.757 4.757 4.757
angles (deg): 90.00 90.00 90.00
Fractional coordinates of all 5 atoms:
Ir  0.000  0.500  0.000
Ir  0.000  0.000  0.500
Ir  0.500  0.000  0.000
Bi  0.500  0.500  0.500
Tc  0.000  0.000  0.000

Relative energy among the computed polymorphs   0.0000 eV per atom
Space group   Pm-3m
Theoretical density   13.63 g/cm3

Below is a relaxed structure of Na2ErTlF6, with properties calculated at the PBE-GGA level.

a b c (Å): 6.069 6.068 6.439
angles (deg): 61.88 61.87 59.99
Fractional coordinates of all 10 atoms:
Na  0.526  0.526  0.423
Na  0.013  0.013  0.961
Er  0.319  0.319  0.042
Tl  0.796  0.796  0.612
F  0.580  0.258  0.221
F  0.258  0.941  0.221
F  0.941  0.580  0.221
F  0.346  0.703  0.771
F  0.703  0.179  0.771
F  0.179  0.346  0.771

Space group   R3
Uncorrected formation energy   -3.107 eV/atom
Theoretical density   5.12 g/cm3

Below is a relaxed structure of TmGeRh3, with properties calculated at the PBE-GGA level.

a b c (Å): 4.549 4.549 4.549
angles (deg): 90.00 90.00 90.00
Fractional coordinates of all 5 atoms:
Tm  0.500  0.000  0.000
Ge  0.000  0.500  0.500
Rh  0.000  0.000  0.500
Rh  0.000  0.500  0.000
Rh  0.500  0.500  0.500

Electronic total energy   -0.483 Ry per atom
Space group   Pm-3m
Theoretical density   9.71 g/cm3

Below is a relaxed structure of BeTePd, with properties calculated at the PBE-GGA level.

a b c (Å): 4.069 4.069 10.258
angles (deg): 90.00 90.00 120.00
Fractional coordinates of all 6 atoms:
Be  0.333  0.667  0.250
Be  0.667  0.333  0.750
Te  0.000  0.000  0.250
Te  0.000  0.000  0.750
Pd  0.000  0.000  0.000
Pd  0.000  0.000  0.500

Space group   P6_3/mmc
Uncorrected formation energy   0.237 eV/atom
Theoretical density   5.49 g/cm3